[1]
DFT (PBE) results for Cu2Pb2F7 after structural relaxation.

Computed properties:
- total moment (μB per formula unit) = 1.00
- symmetry = No. 12
- formation energy without anion corrections (kJ/mol of formula units) = -1968
- total energy (eV per atom) = -4.464

Unit cell a=6.0263 b=5.7977 c=6.0263 alpha=100.18 beta=94.28 gamma=79.82
Fractional positions:
Cu1 0.7017 0.0000 0.7017
Cu2 0.2983 0.0000 0.2983
Pb1 0.2620 0.5205 0.7380
Pb2 0.7380 0.4795 0.2620
F1 0.9293 0.7673 0.5552
F2 0.4448 0.7673 0.0707
F3 0.5461 0.2182 0.4539
F4 0.0000 0.5000 0.0000
F5 0.4539 0.7818 0.5461
F6 0.5552 0.2327 0.9293
F7 0.0707 0.2327 0.4448



[2]
DFT (PBE) results for Sr2Tl2N after structural relaxation.

Computed properties:
- total moment (μB per formula unit) = 0.00
- symmetry = No. 127
- formation energy without anion corrections (kJ/mol of formula units) = 206
- total energy (eV per atom) = -2.858

Unit cell a=7.4308 b=7.4308 c=5.2368 alpha=90.00 beta=90.00 gamma=90.00
Fractional positions:
Sr1 0.1700 0.6700 0.5000
Sr2 0.6700 0.8300 0.5000
Sr3 0.8300 0.3300 0.5000
Sr4 0.3300 0.1700 0.5000
Tl1 0.3519 0.8519 0.0000
Tl2 0.8519 0.6481 0.0000
Tl3 0.6481 0.1481 0.0000
Tl4 0.1481 0.3519 0.0000
N1 0.0000 0.0000 0.0000
N2 0.5000 0.5000 0.0000



[3]
DFT (PBE) results for InNiMo2 after structural relaxation.

Computed properties:
- total moment (μB per formula unit) = 0.33
- formation energy (meV/atom) = 316
- symmetry = No. 216
- total energy (eV per atom) = -7.230

Unit cell a=4.4857 b=4.4857 c=4.4857 alpha=60.00 beta=60.00 gamma=60.00
Fractional positions:
In1 0.5000 0.5000 0.5000
Mo1 0.0000 0.0000 0.0000
Mo2 0.2500 0.2500 0.2500
Ni1 0.7500 0.7500 0.7500



[4]
DFT (PBE) results for YPu2O7 after structural relaxation.

Computed properties:
- total moment (μB per formula unit) = 5.00
- symmetry = No. 166
- formation energy without anion corrections (kJ/mol of formula units) = -2722
- total energy (eV per atom) = -9.805

Unit cell a=3.8154 b=3.8154 c=10.4195 alpha=79.45 beta=79.45 gamma=60.00
Fractional positions:
Y1 0.5000 0.5000 0.5000
Pu1 0.0674 0.0674 0.7979
Pu2 0.9326 0.9326 0.2021
O1 0.7198 0.7198 0.8407
O2 0.5776 0.5776 0.2671
O3 0.0000 0.0000 0.0000
O4 0.2802 0.2802 0.1593
O5 0.1378 0.1378 0.5865
O6 0.8622 0.8622 0.4135
O7 0.4224 0.4224 0.7329



[5]
DFT (PBE) results for Sr2Ag9Sn after structural relaxation.

Computed properties:
- total moment (μB per formula unit) = 0.00
- formation energy (meV/atom) = -95
- symmetry = No. 166
- total energy (eV per atom) = -2.848

Unit cell a=5.7669 b=5.7669 c=9.9926 alpha=73.23 beta=73.23 gamma=60.00
Fractional positions:
Sr1 0.8662 0.8662 0.4013
Sr2 0.1338 0.1338 0.5987
Ag1 0.6669 0.6669 0.9994
Ag2 0.3332 0.3332 0.0006
Ag3 0.5000 0.5000 0.5000
Ag4 0.4162 0.4162 0.2472
Ag5 0.9204 0.4162 0.2472
Ag6 0.4162 0.9204 0.2472
Ag7 0.5838 0.5838 0.7528
Ag8 0.5838 0.0796 0.7528
Ag9 0.0796 0.5838 0.7528
Sn1 0.0000 0.0000 0.0000



[6]
DFT (PBE) results for Rb2RhS2 after structural relaxation.

Computed properties:
- total moment (μB per formula unit) = 1.00
- symmetry = No. 127
- formation energy without anion corrections (kJ/mol of formula units) = -193
- total energy (eV per atom) = -3.908

Unit cell a=6.6873 b=6.6873 c=5.4007 alpha=90.00 beta=90.00 gamma=90.00
Fractional positions:
S1 0.3288 0.8288 0.0000
S2 0.8288 0.6712 0.0000
S3 0.6712 0.1712 0.0000
S4 0.1712 0.3288 0.0000
Rh1 0.0000 0.0000 0.0000
Rh2 0.5000 0.5000 0.0000
Rb1 0.1646 0.6646 0.5000
Rb2 0.6646 0.8354 0.5000
Rb3 0.8354 0.3354 0.5000
Rb4 0.3354 0.1646 0.5000



[7]
DFT (PBE) results for Dy3GaSn2 after structural relaxation.

Computed properties:
- total moment (μB per formula unit) = 0.00
- formation energy (meV/atom) = -651
- symmetry = No. 62
- total energy (eV per atom) = -4.790

Unit cell a=4.4140 b=11.7974 c=12.2175 alpha=90.00 beta=90.00 gamma=90.00
Fractional positions:
Dy1 0.2500 0.3781 0.0499
Dy2 0.7500 0.6219 0.9501
Dy3 0.7500 0.8781 0.4501
Dy4 0.2500 0.1219 0.5499
Dy5 0.2500 0.7040 0.2196
Dy6 0.7500 0.2960 0.7804
Dy7 0.7500 0.2040 0.2804
Dy8 0.2500 0.7960 0.7196
Dy9 0.2500 0.4416 0.3748
Dy10 0.7500 0.5584 0.6252
Dy11 0.7500 0.9416 0.1252
Dy12 0.2500 0.0584 0.8748
Ga1 0.2500 0.1346 0.1331
Ga2 0.7500 0.8654 0.8669
Ga3 0.7500 0.6346 0.3669
Ga4 0.2500 0.3654 0.6331
Sn1 0.2500 0.6897 0.4936
Sn2 0.7500 0.3103 0.5064
Sn3 0.7500 0.1897 0.0064
Sn4 0.2500 0.8103 0.9936
Sn5 0.2500 0.9928 0.3132
Sn6 0.7500 0.0072 0.6868
Sn7 0.7500 0.4928 0.1868
Sn8 0.2500 0.5072 0.8132



[8]
DFT (PBE) results for AcPmYEr after structural relaxation.

Computed properties:
- total moment (μB per formula unit) = 0.00
- formation energy (meV/atom) = 53
- symmetry = No. 160
- total energy (eV per atom) = -4.919

Unit cell a=3.7095 b=3.7098 c=12.0867 alpha=90.00 beta=98.81 gamma=120.00
Fractional positions:
Ac1 0.9719 0.3839 0.3713
Pm1 0.1281 0.9622 0.1045
Y1 0.4776 0.1366 0.6296
Er1 0.3002 0.5481 0.8642